VASP calculation (PBE) on a relaxed structure of Sm7HoCd2.

Values from the calculation:
Formation enthalpy at 0 K ... 0.39 eV/atom
D(E_F) ... 19.04 states/eV/f.u.
DFT total energy ... -35.53 eV per cell

a = 5.2926 Å, b = 9.2364 Å, c = 9.2364 Å
α = 121.65°, β = 90.00°, γ = 90.00°
Element x y z (fractional)
Sm 0.0000 0.7790 0.2209
Sm 0.0000 0.2210 0.7791
Sm 0.5000 0.0671 0.2990
Sm 0.5000 0.9329 0.7010
Sm 0.5000 0.2990 0.0671
Sm 0.5000 0.7010 0.9329
Sm 0.5000 0.5000 0.5000
Ho 0.0000 0.0000 0.0000
Cd 0.5000 0.6965 0.3035
Cd 0.5000 0.3035 0.6965

---

VASP calculation (PBE) on a relaxed structure of Sm2HoCd3.

Values from the calculation:
Formation enthalpy at 0 K ... -0.31 eV/atom
D(E_F) ... 6.84 states/eV/f.u.
DFT total energy ... -18.65 eV per cell

a = 3.7792 Å, b = 3.7792 Å, c = 11.3976 Å
α = 90.00°, β = 90.00°, γ = 90.00°
Site moments in Bohr magnetons follow the coordinates.
Element x y z (fractional)
Sm 0.5000 0.5000 0.8305  0.18
Sm 0.5000 0.5000 0.1695  0.18
Ho 0.5000 0.5000 0.5000  0.11
Cd 0.0000 0.0000 0.0000  0.02
Cd 0.0000 0.0000 0.6581  0.01
Cd 0.0000 0.0000 0.3419  0.01

---

VASP calculation (PBE) on a relaxed structure of Sm2Ho5Cd.

Values from the calculation:
Formation enthalpy at 0 K ... -0.04 eV/atom
D(E_F) ... 9.66 states/eV/f.u.
DFT total energy ... -33.58 eV per cell

a = 7.0470 Å, b = 8.3367 Å, c = 6.6226 Å
α = 124.93°, β = 122.14°, γ = 89.96°
Element x y z (fractional)
Sm 0.2533 0.8104 0.5062
Sm 0.6706 0.1229 0.3440
Ho 0.7638 0.3054 0.0282
Ho 0.2636 0.3055 0.0260
Ho 0.6691 0.6366 0.8610
Ho 0.1923 0.6361 0.8604
Ho 0.7804 0.8102 0.5602
Cd 0.1840 0.1499 0.3680

---

VASP calculation (PBE) on a relaxed structure of Sm4Ho5Cd2.

Values from the calculation:
Formation enthalpy at 0 K ... 0.01 eV/atom
D(E_F) ... 15.63 states/eV/f.u.
DFT total energy ... -43.46 eV per cell

a = 3.4845 Å, b = 8.5986 Å, c = 11.2739 Å
α = 93.74°, β = 90.00°, γ = 90.00°
Element x y z (fractional)
Sm 0.5000 0.7201 0.5481
Sm 0.5000 0.1448 0.8827
Sm 0.5000 0.2799 0.4519
Sm 0.5000 0.8552 0.1173
Ho 0.0000 0.5715 0.2933
Ho 0.0000 0.2047 0.1682
Ho 0.0000 0.5000 0.0000
Ho 0.0000 0.7953 0.8318
Ho 0.0000 0.4285 0.7067
Cd 0.0000 0.0537 0.6317
Cd 0.0000 0.9463 0.3683

---

VASP calculation (PBE) on a relaxed structure of Sm3Ho2Cd.

Values from the calculation:
Formation enthalpy at 0 K ... -0.02 eV/atom
D(E_F) ... 8.72 states/eV/f.u.
DFT total energy ... -48.70 eV per cell

a = 11.3428 Å, b = 6.0991 Å, c = 6.0991 Å
α = 119.92°, β = 90.00°, γ = 90.00°
Element x y z (fractional)
Sm 0.4697 0.1606 0.8393
Sm 0.9697 0.1607 0.8394
Sm 0.4696 0.4999 0.4999
Sm 0.9696 0.5001 0.5001
Sm 0.9697 0.8394 0.1607
Sm 0.4697 0.8393 0.1606
Ho 0.7196 0.1628 0.5005
Ho 0.2196 0.4995 0.8372
Ho 0.2196 0.8372 0.4995
Ho 0.7196 0.5005 0.1628
Cd 0.7196 0.8280 0.8280
Cd 0.2196 0.1720 0.1720

---

VASP calculation (PBE) on a relaxed structure of Sm3Ho2Cd2.

Values from the calculation:
Formation enthalpy at 0 K ... -0.06 eV/atom
D(E_F) ... 8.05 states/eV/f.u.
DFT total energy ... -25.53 eV per cell

a = 5.1154 Å, b = 3.4871 Å, c = 11.7809 Å
α = 90.00°, β = 77.46°, γ = 90.00°
Site moments in Bohr magnetons follow the coordinates.
Element x y z (fractional)
Sm 0.8536 0.0000 0.2928  0.04
Sm 0.0000 0.0000 0.0000  0.17
Sm 0.1464 0.0000 0.7072  0.04
Ho 0.7104 0.5000 0.5791  0.00
Ho 0.2896 0.5000 0.4209  0.00
Cd 0.5692 0.5000 0.8617  0.00
Cd 0.4308 0.5000 0.1383  0.00

---

What is the formula in the first record?
Sm7HoCd2

---

What is the DFT total energy in the fourth record?
-43.46 eV per cell

---

Look up the formation enthalpy at 0 K of the fifth one.
-0.02 eV/atom

---

Among the records above, which one has the highest D(E_F)?
Sm7HoCd2